# 1
CsBeS2 | PBE | relaxed

Values from the calculation:
- E_tot: -44.29 eV for the cell shown
- Spin magnetization: 1.0 μB/f.u.
- Formation energy (no corrections): -0.4826 eV per atom

```
data_CsBeS2
_chemical_formula_sum 'Cs3 Be3 S6'
_space_group_name_H-M_alt 'R -3 m'
_space_group_IT_number 166
_space_group_name_Hall '-R 3 2"'
_cell_length_a 5.3808
_cell_length_b 5.3808
_cell_length_c 21.3818
_cell_angle_alpha 90.00
_cell_angle_beta 90.00
_cell_angle_gamma 120.00
loop_
_atom_site_label
_atom_site_type_symbol
_atom_site_fract_x
_atom_site_fract_y
_atom_site_fract_z
Cs1 Cs 0.0000 0.0000 0.0000
Be1 Be 0.0000 0.0000 0.5000
S1 S 0.0000 0.0000 0.4126
```

# 2
Te2As2Cl | PBE | relaxed

Values from the calculation:
- Excess energy over the best structure of this formula in the dataset: 209 meV/atom
- E_tot: -34.05 eV for the cell shown
- Spin magnetization: 0.0 μB/f.u.
- Formation energy (no corrections): 0.0810 eV per atom

```
data_Te2As2Cl
_chemical_formula_sum 'Te4 As4 Cl2'
_space_group_name_H-M_alt 'I 4/m m m'
_space_group_IT_number 139
_space_group_name_Hall '-I 4 2'
_cell_length_a 5.000
_cell_length_b 5.000
_cell_length_c 12.212
_cell_angle_alpha 90.00
_cell_angle_beta 90.00
_cell_angle_gamma 90.00
loop_
_atom_site_label
_atom_site_type_symbol
_atom_site_fract_x
_atom_site_fract_y
_atom_site_fract_z
Te1 Te 0.000 0.000 0.149
As1 As 0.000 0.500 0.250
Cl1 Cl 0.000 0.000 0.500
```

# 3
SrCdSn2Pd5 | PBE | relaxed

Values from the calculation:
- E_tot: -38.89 eV for the cell shown
- Spin magnetization: 0.0 μB/f.u.
- Formation enthalpy at 0 K: -0.258 eV per atom

```
data_SrCdSn2Pd5
_chemical_formula_sum 'Sr1 Cd1 Sn2 Pd5'
_space_group_name_H-M_alt 'P 4/m m m'
_space_group_IT_number 123
_space_group_name_Hall '-P 4 2'
_cell_length_a 5.109
_cell_length_b 5.109
_cell_length_c 7.906
_cell_angle_alpha 90.00
_cell_angle_beta 90.00
_cell_angle_gamma 90.00
loop_
_atom_site_label
_atom_site_type_symbol
_atom_site_fract_x
_atom_site_fract_y
_atom_site_fract_z
Sr1 Sr 0.000 0.000 0.000
Cd1 Cd 0.000 0.000 0.500
Sn1 Sn 0.500 0.500 0.320
Pd1 Pd 0.000 0.500 0.315
Pd2 Pd 0.500 0.500 0.000
```

# 4
K3Ac2TmO6 | PBE | relaxed

Values from the calculation:
- E_tot: -154.43 eV for the cell shown
- Spin magnetization: 0.0 μB/f.u.
- Formation energy (no corrections): -2.6239 eV per atom

```
data_K3Ac2TmO6
_chemical_formula_sum 'K6 Ac4 Tm2 O12'
_space_group_name_H-M_alt 'C 1 2/m 1'
_space_group_IT_number 12
_space_group_name_Hall '-C 2y'
_cell_length_a 6.434
_cell_length_b 11.165
_cell_length_c 6.672
_cell_angle_alpha 90.00
_cell_angle_beta 108.55
_cell_angle_gamma 90.00
loop_
_atom_site_label
_atom_site_type_symbol
_atom_site_fract_x
_atom_site_fract_y
_atom_site_fract_z
K1 K 0.000 0.000 0.000
K2 K 0.000 0.342 0.000
Ac1 Ac 0.000 0.167 0.500
Tm1 Tm 0.000 0.500 0.500
O1 O 0.217 0.346 0.691
O2 O 0.245 0.500 0.311
```

# 5
TcTeI2N | PBE | relaxed

Values from the calculation:
- Excess energy over the best structure of this formula in the dataset: 0 meV/atom
- E_tot: -22.52 eV for the cell shown
- Spin magnetization: 0.0 μB/f.u.
- Formation energy (no corrections): 0.4825 eV per atom

```
data_TcTeI2N
_chemical_formula_sum 'Tc1 Te1 I2 N1'
_space_group_name_H-M_alt 'P 4/m m m'
_space_group_IT_number 123
_space_group_name_Hall '-P 4 2'
_cell_length_a 5.649
_cell_length_b 5.649
_cell_length_c 3.788
_cell_angle_alpha 90.00
_cell_angle_beta 90.00
_cell_angle_gamma 90.00
loop_
_atom_site_label
_atom_site_type_symbol
_atom_site_fract_x
_atom_site_fract_y
_atom_site_fract_z
Tc1 Tc 0.000 0.000 0.000
Te1 Te 0.500 0.500 0.500
I1 I 0.000 0.500 0.000
N1 N 0.000 0.000 0.500
```

# 6
In2SbCl | PBE | relaxed

Values from the calculation:
- Excess energy over the best structure of this formula in the dataset: 139 meV/atom
- E_tot: -24.83 eV for the cell shown
- Spin magnetization: 0.0 μB/f.u.
- Formation energy (no corrections): -0.2428 eV per atom

```
data_In2SbCl
_chemical_formula_sum 'In4 Sb2 Cl2'
_space_group_name_H-M_alt 'C 1 2/m 1'
_space_group_IT_number 12
_space_group_name_Hall '-C 2y'
_cell_length_a 8.723
_cell_length_b 3.422
_cell_length_c 8.269
_cell_angle_alpha 90.00
_cell_angle_beta 96.03
_cell_angle_gamma 90.00
loop_
_atom_site_label
_atom_site_type_symbol
_atom_site_fract_x
_atom_site_fract_y
_atom_site_fract_z
In1 In 0.200 0.000 0.270
Sb1 Sb 0.000 0.500 0.500
Cl1 Cl 0.000 0.000 0.000
```

# 7
TiGa2Br | PBE | relaxed

Values from the calculation:
- Excess energy over the best structure of this formula in the dataset: 281 meV/atom
- E_tot: -55.43 eV for the cell shown
- Spin magnetization: 0.0 μB/f.u.
- Formation energy (no corrections): 0.4412 eV per atom

```
data_TiGa2Br
_chemical_formula_sum 'Ti4 Ga8 Br4'
_space_group_name_H-M_alt 'F m -3 m'
_space_group_IT_number 225
_space_group_name_Hall '-F 4 2 3'
_cell_length_a 6.960
_cell_length_b 6.960
_cell_length_c 6.960
_cell_angle_alpha 90.00
_cell_angle_beta 90.00
_cell_angle_gamma 90.00
loop_
_atom_site_label
_atom_site_type_symbol
_atom_site_fract_x
_atom_site_fract_y
_atom_site_fract_z
Ti1 Ti 0.000 0.000 0.000
Ga1 Ga 0.250 0.250 0.250
Br1 Br 0.000 0.000 0.500
```

# 8
Cd2GaPb | PBE | relaxed

Values from the calculation:
- Excess energy over the best structure of this formula in the dataset: 36 meV/atom
- E_tot: -24.50 eV for the cell shown
- Spin magnetization: 0.0 μB/f.u.
- Formation enthalpy at 0 K: 0.100 eV per atom

```
data_Cd2GaPb
_chemical_formula_sum 'Cd6 Ga3 Pb3'
_space_group_name_H-M_alt 'R 3 m'
_space_group_IT_number 160
_space_group_name_Hall 'R 3 -2"'
_cell_length_a 4.7469
_cell_length_b 4.7469
_cell_length_c 16.0624
_cell_angle_alpha 90.00
_cell_angle_beta 90.00
_cell_angle_gamma 120.00
loop_
_atom_site_label
_atom_site_type_symbol
_atom_site_fract_x
_atom_site_fract_y
_atom_site_fract_z
Cd1 Cd 0.0000 0.0000 0.0000
Cd2 Cd 0.0000 0.0000 0.2121
Ga1 Ga 0.0000 0.0000 0.6282
Pb1 Pb 0.0000 0.0000 0.4354
```

# 9
Mn3CoPt | PBE | relaxed

Values from the calculation:
- E_tot: -34.73 eV for the cell shown
- Spin magnetization: 0.0 μB/f.u.
- Formation enthalpy at 0 K: 1.185 eV per atom

```
data_Mn3CoPt
_chemical_formula_sum 'Mn3 Co1 Pt1'
_space_group_name_H-M_alt 'P m -3 m'
_space_group_IT_number 221
_space_group_name_Hall '-P 4 2 3'
_cell_length_a 4.115
_cell_length_b 4.115
_cell_length_c 4.115
_cell_angle_alpha 90.00
_cell_angle_beta 90.00
_cell_angle_gamma 90.00
loop_
_atom_site_label
_atom_site_type_symbol
_atom_site_fract_x
_atom_site_fract_y
_atom_site_fract_z
Mn1 Mn 0.000 0.000 0.500
Co1 Co 0.000 0.000 0.000
Pt1 Pt 0.500 0.500 0.500
```

# 10
TlCdF3 | PBE | relaxed

Values from the calculation:
- E_tot: -150.60 eV for the cell shown
- Spin magnetization: 0.0 μB/f.u.
- Formation energy (no corrections): -1.9860 eV per atom

```
data_TlCdF3
_chemical_formula_sum 'Tl8 Cd8 F24'
_space_group_name_H-M_alt 'C m c e'
_space_group_IT_number 64
_space_group_name_Hall '-C 2ac 2'
_cell_length_a 9.119
_cell_length_b 13.096
_cell_length_c 5.948
_cell_angle_alpha 90.00
_cell_angle_beta 90.00
_cell_angle_gamma 90.00
loop_
_atom_site_label
_atom_site_type_symbol
_atom_site_fract_x
_atom_site_fract_y
_atom_site_fract_z
Tl1 Tl 0.250 0.151 0.250
Cd1 Cd 0.000 0.119 0.695
F1 F 0.000 0.048 0.299
F2 F 0.000 0.237 0.979
F3 F 0.250 0.118 0.750
```

# 11
Ag2Pb2Br2F5 | PBE | relaxed

Values from the calculation:
- E_tot: -81.44 eV for the cell shown
- Spin magnetization: 1.1 μB/f.u.
- Formation energy (no corrections): -1.3545 eV per atom

```
data_Ag2Pb2Br2F5
_chemical_formula_sum 'Ag4 Pb4 Br4 F10'
_space_group_name_H-M_alt 'I 4/m m m'
_space_group_IT_number 139
_space_group_name_Hall '-I 4 2'
_cell_length_a 4.485
_cell_length_b 4.485
_cell_length_c 25.440
_cell_angle_alpha 90.00
_cell_angle_beta 90.00
_cell_angle_gamma 90.00
loop_
_atom_site_label
_atom_site_type_symbol
_atom_site_fract_x
_atom_site_fract_y
_atom_site_fract_z
Ag1 Ag 0.000 0.000 0.083
Pb1 Pb 0.000 0.000 0.337
Br1 Br 0.000 0.000 0.207
F1 F 0.000 0.000 0.000
F2 F 0.000 0.500 0.114
```

# 12
Ac2DyEr | PBE | relaxed

Values from the calculation:
- Excess energy over the best structure of this formula in the dataset: 209 meV/atom
- E_tot: -49.01 eV for the cell shown
- Spin magnetization: 0.0 μB/f.u.
- Formation enthalpy at 0 K: 0.261 eV per atom

```
data_Ac2DyEr
_chemical_formula_sum 'Ac6 Dy3 Er3'
_space_group_name_H-M_alt 'R -3 m'
_space_group_IT_number 166
_space_group_name_Hall '-R 3 2"'
_cell_length_a 3.6919
_cell_length_b 3.6919
_cell_length_c 39.0576
_cell_angle_alpha 90.00
_cell_angle_beta 90.00
_cell_angle_gamma 120.00
loop_
_atom_site_label
_atom_site_type_symbol
_atom_site_fract_x
_atom_site_fract_y
_atom_site_fract_z
Ac1 Ac 0.0000 0.0000 0.0884
Dy1 Dy 0.0000 0.0000 0.5000
Er1 Er 0.0000 0.0000 0.0000
```